An optimized crystal structure of Ce4PdPt, computed with PBE.

The value obtained for the magnetization is 10.8 Bohr magnetons per cell. For the calculated total energy, the calculation gives -6.25 eV per atom. Its crystal system is monoclinic.

The structure belongs to space group C2/c (No. 15); the cell edges are 15.3240, 6.1406 and 7.4562 Å and the angles 90.00°, 112.37° and 90.00°. The inequivalent atoms are Ce at (0.0668, 0.0778, 0.4375), Ce at (0.1463, 0.4182, 0.1173), Pd at (0.2500, 0.2500, 0.5000) and Pt at (0.0000, 0.3853, 0.7500).